Compound: FeSn2PtCl
Source: the Alexandria database
Functional: GGA-PBEsol
Structure: optimized geometry

Unit cell a=5.1580 b=5.1580 c=4.8096 alpha=90.00 beta=90.00 gamma=90.00
Last column: nearest neighbours and their distance in Å.
Element x y z (fractional)
Fe 0.0000 0.0000 0.0000  8 Sn 3.53, 4 Cl 3.65
Sn 0.0000 0.5000 0.5000  2 Pt 2.58
Sn 0.5000 0.0000 0.5000  2 Pt 2.58
Pt 0.5000 0.5000 0.5000  2 Cl 2.40, 4 Sn 2.58
Cl 0.5000 0.5000 0.0000  2 Pt 2.40

Output
* SG: P4/mmm, No. 123
* E_form (uncorrected): 0.70 eV/atom
* DOS at the Fermi energy: 1.06 states/eV/atom